# 1
Computed, not measured: a geometry-optimized La2MgSb structure at the PBE-GGA level of DFT.

Values from the calculation:
- ΔE to the lowest computed polymorph (eV per atom) = 0.114
- final energy (eV/f.u.) = -17.6
- ΔE_f (raw) (meV/atom) = -496.8
- D(E_F) (states/eV/f.u.) = 5.6

abc: 8.7165 8.7165 8.7165
angles: 29.80 29.80 29.80
Fractional positions:
Mg1 0.2500 0.2500 0.2500
Sb1 0.7500 0.7500 0.7500
La1 0.4905 0.4905 0.4905
La2 0.0095 0.0095 0.0095

# 2
Computed, not measured: a geometry-optimized LaMg2Sb2 structure at the PBE-GGA level of DFT.

Values from the calculation:
- final energy (eV/f.u.) = -19.5
- ΔE_f (raw) (meV/atom) = -624.6
- D(E_F) (states/eV/f.u.) = 3.3

abc: 4.3492 4.3492 7.8351
angles: 73.89 73.89 90.00
Fractional positions:
Mg1 0.7500 0.2500 0.5000
Mg2 0.2500 0.7500 0.5000
La1 0.0000 0.0000 0.0000
Sb1 0.6153 0.6153 0.7695
Sb2 0.3847 0.3847 0.2305

# 3
Computed, not measured: a geometry-optimized LaMgSb2 structure at the PBE-GGA level of DFT.

Values from the calculation:
- final energy (eV/f.u.) = -17.4
- ΔE_f (raw) (meV/atom) = -670.7
- D(E_F) (states/eV/f.u.) = 1.9

abc: 6.2080 6.2080 4.6583
angles: 76.23 76.23 41.90
Fractional positions:
La1 0.4864 0.4864 0.5715
Mg1 0.2445 0.2445 0.2126
Sb1 0.0057 0.0057 0.0663
Sb2 0.7635 0.7635 0.6497

# 4
Computed, not measured: a geometry-optimized La2MgSb structure at the PBE-GGA level of DFT.

Values from the calculation:
- ΔE to the lowest computed polymorph (eV per atom) = 0.202
- final energy (eV/f.u.) = -17.2
- ΔE_f (raw) (meV/atom) = -408.7
- D(E_F) (states/eV/f.u.) = 4.9

abc: 4.4012 4.4012 6.6630
angles: 90.00 90.00 90.00
Fractional positions:
La1 0.5000 0.5000 0.2779
La2 0.0000 0.0000 0.9662
Sb1 0.5000 0.5000 0.7729
Mg1 0.0000 0.0000 0.4831

# 5
Computed, not measured: a geometry-optimized La2MgSb2 structure at the PBE-GGA level of DFT.

Values from the calculation:
- ΔE to the lowest computed polymorph (eV per atom) = 0.191
- final energy (eV/f.u.) = -23.4
- ΔE_f (raw) (meV/atom) = -749.4
- D(E_F) (states/eV/f.u.) = 0.5

abc: 8.7730 8.7730 4.1627
angles: 90.00 90.00 90.00
Fractional positions:
Sb1 0.6622 0.8378 0.5000
Sb2 0.3378 0.1622 0.5000
Sb3 0.8378 0.3378 0.5000
Sb4 0.1622 0.6622 0.5000
Mg1 0.5000 0.5000 0.0000
Mg2 0.0000 0.0000 0.0000
La1 0.3585 0.8585 0.0000
La2 0.1415 0.3585 0.0000
La3 0.8585 0.6415 0.0000
La4 0.6415 0.1415 0.0000

# 6
Computed, not measured: a geometry-optimized LaMgSb2 structure at the PBE-GGA level of DFT.

Values from the calculation:
- final energy (eV/f.u.) = -15.6
- ΔE_f (raw) (meV/atom) = -204.2
- D(E_F) (states/eV/f.u.) = 2.3

abc: 3.3832 3.3832 10.3113
angles: 90.00 90.00 89.95
Fractional positions:
Sb1 0.5000 0.5000 0.2745
Sb2 0.0000 0.0000 0.9548
Mg1 0.5000 0.5000 0.7654
La1 0.0000 0.0000 0.5053

> Which of these has the highest D(E_F)?

number 1

What did the second record say?
Computed, not measured: a geometry-optimized LaMg2Sb2 structure at the PBE-GGA level of DFT.

Values from the calculation:
- final energy (eV/f.u.) = -19.5
- ΔE_f (raw) (meV/atom) = -624.6
- D(E_F) (states/eV/f.u.) = 3.3

abc: 4.3492 4.3492 7.8351
angles: 73.89 73.89 90.00
Fractional positions:
Mg1 0.7500 0.2500 0.5000
Mg2 0.2500 0.7500 0.5000
La1 0.0000 0.0000 0.0000
Sb1 0.6153 0.6153 0.7695
Sb2 0.3847 0.3847 0.2305